No. 1
DyMnSi2W | PBE-GGA | relaxed

## Properties
Its total DFT energy (no corrections) is -7.977 eV per atom. As for the symmetry: I-4m2, No. 119. As for the energy relative to the elements, uncorrected: -0.462 eV per atom.

abc: 6.1377 6.1377 6.1377
angles: 142.66 142.66 53.84
Sites, in units of the cell vectors:
Dy 0.0000 0.0000 0.0000
Mn 0.7500 0.2500 0.5000
Si 0.3895 0.3895 0.0000
Si 0.6105 0.6105 0.0000
W 0.2500 0.7500 0.5000

=====

No. 2
GdGeCl2 | PBE-GGA | relaxed

## Properties
Its total DFT energy (no corrections) is -6.173 eV per atom. As for the symmetry: R-3m, No. 166. As for the energy relative to the elements, uncorrected: -0.575 eV per atom.

abc: 10.1154 10.1154 10.1154
angles: 20.23 20.23 20.23
Sites, in units of the cell vectors:
Gd 0.0000 0.0000 0.0000
Ge 0.5000 0.5000 0.5000
Cl 0.0871 0.0871 0.0871
Cl 0.9129 0.9129 0.9129

=====

No. 3
CaZn2Cd2 | PBE-GGA | relaxed

## Properties
Its total DFT energy (no corrections) is -1.366 eV per atom. As for the symmetry: P4/mbm, No. 127. Its formation energy is -0.0902 eV/atom.

abc: 7.8496 7.8496 3.6458
angles: 90.00 90.00 90.00
Sites, in units of the cell vectors:
Ca 0.0000 0.0000 0.0000
Ca 0.5000 0.5000 0.0000
Zn 0.1165 0.3835 0.0000
Zn 0.3835 0.8835 0.0000
Zn 0.6165 0.1165 0.0000
Zn 0.8835 0.6165 0.0000
Cd 0.1825 0.6825 0.5000
Cd 0.3175 0.1825 0.5000
Cd 0.6825 0.8175 0.5000
Cd 0.8175 0.3175 0.5000

=====

No. 4
Zr2ScGaRu4 | PBE-GGA | relaxed

## Properties
Its total DFT energy (no corrections) is -8.533 eV per atom. As for the symmetry: R-3m, No. 166. Its formation energy is -0.5887 eV/atom.

abc: 7.8080 7.8080 7.8080
angles: 33.77 33.77 33.77
Sites, in units of the cell vectors:
Zr 0.2462 0.2462 0.2462
Zr 0.7538 0.7538 0.7538
Sc 0.0000 0.0000 0.0000
Ga 0.5000 0.5000 0.5000
Ru 0.1249 0.1249 0.1249
Ru 0.3767 0.3767 0.3767
Ru 0.6233 0.6233 0.6233
Ru 0.8751 0.8751 0.8751

=====

No. 5
TmTlBi2 | PBE-GGA | relaxed

## Properties
Its total DFT energy (no corrections) is -3.835 eV per atom. As for the symmetry: R3m, No. 160. Its formation energy is -0.1847 eV/atom.

abc: 7.3854 7.3854 7.3854
angles: 38.28 38.28 38.28
Sites, in units of the cell vectors:
Tm 0.0000 0.0000 0.0000
Tl 0.1707 0.1707 0.1707
Bi 0.4037 0.4037 0.4037
Bi 0.5938 0.5938 0.5938

=====

No. 6
YAgAs2 | PBE-GGA | relaxed

## Properties
Its total DFT energy (no corrections) is -4.706 eV per atom. As for the symmetry: R3m, No. 160. Its formation energy is -0.0524 eV/atom.

abc: 7.8360 7.8360 7.8360
angles: 27.96 27.96 27.96
Sites, in units of the cell vectors:
Y 0.0000 0.0000 0.0000
Ag 0.7612 0.7612 0.7612
As 0.2449 0.2449 0.2449
As 0.5059 0.5059 0.5059

=====

No. 7
InAu2F | PBE-GGA | relaxed

## Properties
Its total DFT energy (no corrections) is -3.324 eV per atom. As for the symmetry: I-42d, No. 122. As for the energy relative to the elements, uncorrected: -0.533 eV per atom.

abc: 5.9780 5.9780 5.9780
angles: 101.38 101.38 127.26
Sites, in units of the cell vectors:
In 0.0000 0.0000 0.0000
In 0.7500 0.2500 0.5000
Au 0.1363 0.6250 0.0113
Au 0.3750 0.3863 0.5113
Au 0.6137 0.1250 0.9887
Au 0.8750 0.8637 0.4887
F 0.2500 0.7500 0.5000
F 0.5000 0.5000 0.0000

=====

No. 8
Sm4Se5S | PBE-GGA | relaxed

## Properties
Its total DFT energy (no corrections) is -5.866 eV per atom. As for the symmetry: C2/m, No. 12. As for the energy relative to the elements, uncorrected: -1.823 eV per atom.

abc: 9.3861 9.3861 8.3216
angles: 106.18 106.18 25.72
Sites, in units of the cell vectors:
Sm 0.0030 0.0030 0.2556
Sm 0.3208 0.3208 0.8769
Sm 0.6792 0.6792 0.1231
Sm 0.9970 0.9970 0.7444
Se 0.1622 0.1622 0.3418
Se 0.1619 0.1619 0.8624
Se 0.5000 0.5000 0.5000
Se 0.8381 0.8381 0.1376
Se 0.8378 0.8378 0.6582
S 0.5000 0.5000 0.0000

=====

No. 9
Ac8Rh3 | PBE-GGA | relaxed

## Properties
Its total DFT energy (no corrections) is -5.375 eV per atom. As for the symmetry: R-3, No. 148. Its formation energy is -0.3821 eV/atom.

abc: 7.4177 7.4177 7.4177
angles: 89.90 89.90 89.90
Sites, in units of the cell vectors:
Ac 0.1584 0.1584 0.1584
Ac 0.1589 0.3363 0.6608
Ac 0.3363 0.6608 0.1589
Ac 0.3392 0.8411 0.6637
Ac 0.6608 0.1589 0.3363
Ac 0.6637 0.3392 0.8411
Ac 0.8411 0.6637 0.3392
Ac 0.8416 0.8416 0.8416
Rh 0.0000 0.0000 0.5000
Rh 0.0000 0.5000 0.0000
Rh 0.5000 0.0000 0.0000

=====

No. 10
LiMg2As | PBE-GGA | relaxed

## Properties
Its total DFT energy (no corrections) is -2.718 eV per atom. As for the symmetry: Imm2, No. 44. Its formation energy is -0.2801 eV/atom.

abc: 5.4020 5.4020 5.4020
angles: 135.60 135.49 64.69
Sites, in units of the cell vectors:
Li 0.0000 0.0000 0.0000
Mg 0.4985 0.4985 0.0000
Mg 0.7491 0.2491 0.5000
As 0.2484 0.7484 0.5000

=====

No. 11
La2Sn3Ir | PBE-GGA | relaxed

## Properties
Its total DFT energy (no corrections) is -5.769 eV per atom. As for the symmetry: Pmm2, No. 25. Its formation energy is -0.6483 eV/atom.

abc: 4.2553 4.8346 8.0637
angles: 90.00 90.00 90.00
Sites, in units of the cell vectors:
La 0.0000 0.0000 0.0000
La 0.0000 0.5000 0.4540
Sn 0.5000 0.0000 0.6079
Sn 0.5000 0.5000 0.1464
Sn 0.5000 0.5000 0.7957
Ir 0.5000 0.0000 0.2789

=====

No. 12
ZrMnCu2 | PBE-GGA | relaxed

## Properties
Its total DFT energy (no corrections) is -6.344 eV per atom. As for the symmetry: F-43m, No. 216. Its formation energy is 0.1333 eV/atom.

abc: 4.4039 4.4039 4.4039
angles: 60.00 60.00 60.00
Sites, in units of the cell vectors:
Zr 0.0000 0.0000 0.0000
Mn 0.7500 0.7500 0.7500
Cu 0.2500 0.2500 0.2500
Cu 0.5000 0.5000 0.5000

=====

No. 13
GaSO4 | PBE-GGA | relaxed

## Properties
Its total DFT energy (no corrections) is -5.592 eV per atom. As for the symmetry: P222, No. 16. As for the energy relative to the elements, uncorrected: -1.094 eV per atom.

abc: 5.2371 6.1944 6.4035
angles: 90.00 90.00 90.00
Sites, in units of the cell vectors:
Ga 0.0000 0.0000 0.0000
Ga 0.0000 0.5000 0.5000
S 0.0000 0.0000 0.5000
S 0.5000 0.5000 0.5000
O 0.1499 0.1455 0.6424
O 0.1499 0.8545 0.3576
O 0.3138 0.3933 0.3499
O 0.3138 0.6067 0.6501
O 0.6862 0.3933 0.6501
O 0.6862 0.6067 0.3499
O 0.8501 0.1455 0.3576
O 0.8501 0.8545 0.6424

=====

No. 14
LiNdNiSb | PBE-GGA | relaxed

## Properties
Its total DFT energy (no corrections) is -4.660 eV per atom. As for the symmetry: F-43m, No. 216. As for the energy relative to the elements, uncorrected: -0.513 eV per atom.

abc: 4.7391 4.7391 4.7391
angles: 60.00 60.00 60.00
Sites, in units of the cell vectors:
Li 0.0000 0.0000 0.0000
Nd 0.7500 0.7500 0.7500
Ni 0.5000 0.5000 0.5000
Sb 0.2500 0.2500 0.2500

=====

No. 15
MgRe2TcPd | PBE-GGA | relaxed

## Properties
Its total DFT energy (no corrections) is -6.790 eV per atom. As for the symmetry: P4/mmm, No. 123. Its formation energy is 1.6198 eV/atom.

abc: 4.6347 4.6347 4.8114
angles: 90.00 90.00 90.00
Sites, in units of the cell vectors:
Mg 0.0000 0.0000 0.0000
Re 0.0000 0.5000 0.5000
Re 0.5000 0.0000 0.5000
Tc 0.0000 0.0000 0.5000
Pd 0.5000 0.5000 0.0000

=====

No. 16
MnSnMoP | PBE-GGA | relaxed

## Properties
Its total DFT energy (no corrections) is -7.521 eV per atom. As for the symmetry: Pmm2, No. 25. Its formation energy is -0.1676 eV/atom.

abc: 3.2123 3.2360 6.4692
angles: 90.00 90.00 90.00
Sites, in units of the cell vectors:
Mn 0.0000 0.0000 0.0000
Sn 0.5000 0.5000 0.2509
Mo 0.5000 0.0000 0.6188
P 0.0000 0.5000 0.7491

=====

No. 17
Na2MgCd4 | PBE-GGA | relaxed

## Properties
Its total DFT energy (no corrections) is -1.216 eV per atom. As for the symmetry: C2/m, No. 12. Its formation energy is -0.0885 eV/atom.

abc: 5.3803 5.3803 7.6965
angles: 97.64 97.64 48.93
Sites, in units of the cell vectors:
Na 0.1423 0.1423 0.4290
Na 0.8577 0.8577 0.5710
Mg 0.0000 0.0000 0.0000
Cd 0.2771 0.2771 0.8581
Cd 0.4344 0.4344 0.2550
Cd 0.5656 0.5656 0.7450
Cd 0.7229 0.7229 0.1419

=====

No. 18
CaDyAg6 | PBE-GGA | relaxed

## Properties
Its total DFT energy (no corrections) is -3.153 eV per atom. As for the symmetry: Pm-3, No. 200. Its formation energy is -0.1889 eV/atom.

abc: 5.4977 5.4977 5.4977
angles: 90.00 90.00 90.00
Sites, in units of the cell vectors:
Ca 0.0000 0.0000 0.0000
Dy 0.5000 0.5000 0.5000
Ag 0.0000 0.2507 0.5000
Ag 0.0000 0.7493 0.5000
Ag 0.2507 0.5000 0.0000
Ag 0.5000 0.0000 0.2507
Ag 0.5000 0.0000 0.7493
Ag 0.7493 0.5000 0.0000

=====

No. 19
Tb2PmDy2 | PBE-GGA | relaxed

## Properties
Its total DFT energy (no corrections) is -4.144 eV per atom. As for the symmetry: Fddd, No. 70. Its formation energy is 0.4987 eV/atom.

abc: 12.7600 11.6877 6.4408
angles: 84.18 65.68 30.14
Sites, in units of the cell vectors:
Tb 0.0436 0.7064 0.0436
Tb 0.2936 0.9564 0.2936
Tb 0.7064 0.0436 0.7064
Tb 0.9564 0.2936 0.9564
Pm 0.3750 0.3750 0.3750
Pm 0.6250 0.6250 0.6250
Dy 0.0000 0.5000 0.5000
Dy 0.5000 0.0000 0.5000
Dy 0.5000 0.5000 0.0000
Dy 0.5000 0.5000 0.5000

=====

No. 20
Pm3Y4 | PBE-GGA | relaxed

## Properties
Its total DFT energy (no corrections) is -5.712 eV per atom. As for the symmetry: I4/mmm, No. 139. Its formation energy is 0.0174 eV/atom.

abc: 18.0254 18.0254 18.0254
angles: 168.52 168.52 16.26
Sites, in units of the cell vectors:
Pm 0.0000 0.0000 0.0000
Pm 0.1432 0.1432 0.0000
Pm 0.8568 0.8568 0.0000
Y 0.2855 0.2855 0.0000
Y 0.4285 0.4285 0.0000
Y 0.5715 0.5715 0.0000
Y 0.7145 0.7145 0.0000

=====

No. 21
Li3Rh | PBE-GGA | relaxed

## Properties
Its total DFT energy (no corrections) is -3.364 eV per atom. As for the symmetry: Pmm2, No. 25. Its formation energy is -0.0908 eV/atom.

abc: 2.6582 4.4612 4.8311
angles: 90.00 90.00 90.00
Sites, in units of the cell vectors:
Li 0.0000 0.0000 0.0000
Li 0.0000 0.5000 0.3294
Li 0.5000 0.0000 0.5488
Rh 0.5000 0.5000 0.8328

=====

No. 22
BaTl2Te5 | PBE-GGA | relaxed

## Properties
Its total DFT energy (no corrections) is -3.273 eV per atom. As for the symmetry: Cmcm, No. 63. As for the energy relative to the elements, uncorrected: -0.478 eV per atom.

abc: 6.5405 6.5405 20.9008
angles: 90.00 90.00 134.29
Sites, in units of the cell vectors:
Ba 0.2365 0.7635 0.7500
Ba 0.7635 0.2365 0.2500
Tl 0.1060 0.8940 0.0940
Tl 0.1060 0.8940 0.4060
Tl 0.8940 0.1060 0.5940
Tl 0.8940 0.1060 0.9060
Te 0.0563 0.9437 0.2500
Te 0.1784 0.8216 0.5825
Te 0.1784 0.8216 0.9175
Te 0.4003 0.5997 0.1373
Te 0.4003 0.5997 0.3627
Te 0.5997 0.4003 0.6373
Te 0.5997 0.4003 0.8627
Te 0.8216 0.1784 0.0825
Te 0.8216 0.1784 0.4175
Te 0.9437 0.0563 0.7500

=====

No. 23
MoAs2Se | PBE-GGA | relaxed

## Properties
Its total DFT energy (no corrections) is -5.504 eV per atom. As for the symmetry: F-43m, No. 216. As for the energy relative to the elements, uncorrected: 0.400 eV per atom.

abc: 4.5978 4.5978 4.5978
angles: 60.00 60.00 60.00
Sites, in units of the cell vectors:
Mo 0.0000 0.0000 0.0000
As 0.2500 0.2500 0.2500
As 0.5000 0.5000 0.5000
Se 0.7500 0.7500 0.7500

=====

No. 24
InRe2Mo | PBE-GGA | relaxed

## Properties
Its total DFT energy (no corrections) is -9.055 eV per atom. As for the symmetry: Cmmm, No. 65. Its formation energy is 0.5611 eV/atom.

abc: 4.9194 4.9194 2.9150
angles: 90.00 90.00 111.33
Sites, in units of the cell vectors:
In 0.0000 0.0000 0.0000
Re 0.0000 0.5000 0.5000
Re 0.5000 0.0000 0.5000
Mo 0.5000 0.5000 0.0000

=====

No. 25
Nd2SmSe3 | PBE-GGA | relaxed

## Properties
Its total DFT energy (no corrections) is -5.948 eV per atom. As for the symmetry: Immm, No. 71. As for the energy relative to the elements, uncorrected: -1.829 eV per atom.

abc: 7.2864 7.2864 7.2864
angles: 146.29 131.84 60.07
Sites, in units of the cell vectors:
Nd 0.1687 0.1687 0.0000
Nd 0.8313 0.8313 0.0000
Sm 0.5000 0.5000 0.0000
Se 0.0000 0.5000 0.5000
Se 0.3365 0.8365 0.5000
Se 0.6635 0.1635 0.5000

=====

No. 26
TaAs2Cl | PBE-GGA | relaxed

## Properties
Its total DFT energy (no corrections) is -5.278 eV per atom. As for the symmetry: Fm-3m, No. 225. As for the energy relative to the elements, uncorrected: 0.472 eV per atom.

abc: 4.7067 4.7067 4.7067
angles: 60.00 60.00 60.00
Sites, in units of the cell vectors:
Ta 0.0000 0.0000 0.0000
As 0.2500 0.2500 0.2500
As 0.7500 0.7500 0.7500
Cl 0.5000 0.5000 0.5000